[1]
# PBE Sm3In3Ag2Ir, relaxed
data_Sm3In3Ag2Ir
_cell_length_a 7.7783
_cell_length_b 7.7783
_cell_length_c 4.1047
_cell_angle_alpha 90.00
_cell_angle_beta 90.00
_cell_angle_gamma 120.00
_symmetry_space_group_name_H-M 'P -6 2 m'
_symmetry_Int_Tables_number 189
_symmetry_space_group_name_Hall 'P -6 -2'
loop_
_atom_site_label
_atom_site_fract_x
_atom_site_fract_y
_atom_site_fract_z
Sm1 0.0000 0.3939 0.0000
In1 0.0000 0.7495 0.5000
Ag1 0.3333 0.6667 0.5000
Ir1 0.0000 0.0000 0.0000
# theoretical density: 9.29 g/cm³
# E: -4.5843 eV/atom
# M_tot: 0.021 μB per formula unit

[2]
# PBE HfReAu, relaxed
data_HfReAu
_cell_length_a 6.2948
_cell_length_b 6.2948
_cell_length_c 6.2948
_cell_angle_alpha 90.00
_cell_angle_beta 90.00
_cell_angle_gamma 90.00
_symmetry_space_group_name_H-M 'F -4 3 m'
_symmetry_Int_Tables_number 216
_symmetry_space_group_name_Hall 'F -4 2 3'
loop_
_atom_site_label
_atom_site_fract_x
_atom_site_fract_y
_atom_site_fract_z
Hf1 0.0000 0.0000 0.0000
Re1 0.2500 0.2500 0.2500
Au1 0.2500 0.2500 0.7500
# energy relative to the lowest polymorph listed for this composition: 0.095 eV/atom
# theoretical density: 14.96 g/cm³
# E: -7.7981 eV/atom
# formation energy: 750 meV/atom
# M_tot: 0.017 μB per formula unit

[3]
# PBE Tb2NdGa3Ni3, relaxed
data_Tb2NdGa3Ni3
_cell_length_a 3.8046
_cell_length_b 12.2942
_cell_length_c 7.1253
_cell_angle_alpha 90.00
_cell_angle_beta 90.00
_cell_angle_gamma 90.00
_symmetry_space_group_name_H-M 'A m m 2'
_symmetry_Int_Tables_number 38
loop_
_symmetry_equiv_pos_as_xyz
'x,y,z'
'-x,-y,z'
'-x,y,z'
'x,-y,z'
'x,y+1/2,z+1/2'
'-x,-y+1/2,z+1/2'
'-x,y+1/2,z+1/2'
'x,-y+1/2,z+1/2'
loop_
_atom_site_label
_atom_site_fract_x
_atom_site_fract_y
_atom_site_fract_z
Tb1 0.0000 0.2065 0.0000
Nd1 0.0000 0.0000 0.3772
Ga1 0.5000 0.0000 0.0305
Ga2 0.5000 0.1238 0.6749
Ni1 0.0000 0.0000 0.7945
Ni2 0.5000 0.1700 0.2921
# theoretical density: 8.44 g/cm³
# E: -5.0260 eV/atom
# M_tot: 0.007 μB per formula unit

[4]
# PBE SrHfCd4, relaxed
data_SrHfCd4
_cell_length_a 3.5035
_cell_length_b 3.5035
_cell_length_c 11.6499
_cell_angle_alpha 90.00
_cell_angle_beta 90.00
_cell_angle_gamma 90.00
_symmetry_space_group_name_H-M 'P 4/m m m'
_symmetry_Int_Tables_number 123
_symmetry_space_group_name_Hall '-P 4 2'
loop_
_atom_site_label
_atom_site_fract_x
_atom_site_fract_y
_atom_site_fract_z
Sr1 0.0000 0.0000 0.0000
Hf1 0.5000 0.5000 0.5000
Cd1 0.0000 0.0000 0.3490
Cd2 0.5000 0.5000 0.2007
# theoretical density: 8.31 g/cm³
# E: -2.5919 eV/atom
# M_tot: 0.004 μB per formula unit